Here is a relaxed ZnTcNi2C crystal from Alexandria. Energies are from PBE.

E_tot = -32.37 eV for the cell shown
V = 11.6 A^3/atom
symmetry = P4/mmm
energy of formation from the pure elements = 0.010 eV per atom

extended XYZ file:
```
5
Lattice="3.787 0.000 0.000 0.000 3.787 0.000 0.000 0.000 4.047" Properties=species:S:1:pos:R:3 pbc="T T T"
Zn 0.000 0.000 0.000
Tc 1.894 1.894 0.000
Ni 0.000 1.894 2.023
Ni 1.894 0.000 2.023
C 1.894 1.894 2.023
```